1.
Material: Cs2PuHg2Cl4
Method: DFT, GGA-PBE
State: relaxed

Values from the calculation:
Uncorrected formation energy, meV per atom: -1403
Energy, eV per atom: -4.0730

abc: 8.448 8.448 9.401
angles: 90.00 90.00 90.00
Space group I4/mmm (No. 139)
Symmetry-distinct sites (fractional):
Cs 0.000 0.500 0.250
Pu 0.000 0.000 0.000
Hg 0.000 0.000 0.341
Cl 0.229 0.229 0.000

***

2.
Material: CsPu3Hg2Cl12
Method: DFT, GGA-PBE
State: relaxed

Values from the calculation:
Uncorrected formation energy, meV per atom: -1560
Energy, eV per atom: -5.2611

abc: 10.3051 10.3051 22.3897
angles: 90.00 90.00 120.00
Space group R-3m (No. 166, hexagonal axes)
Symmetry-distinct sites (fractional):
Cs 0.0000 0.0000 0.0000
Pu 0.0000 0.5000 0.5000
Hg 0.0000 0.0000 0.4190
Cl 0.0568 0.5284 0.3894
Cl 0.0879 0.5439 0.8113

***

3.
Material: CsPu2HgCl8
Method: DFT, GGA-PBE
State: relaxed

Values from the calculation:
Uncorrected formation energy, meV per atom: -1668
Energy, eV per atom: -5.3841

abc: 6.830 8.280 8.318
angles: 89.81 89.75 89.92
Space group P-1 (No. 2)
Symmetry-distinct sites (fractional):
Cs 0.000 0.000 0.000
Pu 0.500 0.500 0.251
Hg 0.000 0.000 0.500
Cl 0.265 0.405 0.001
Cl 0.267 0.410 0.501
Cl 0.340 0.780 0.244
Cl 0.341 0.780 0.755

***

4.
Material: Cs2PuHgCl6
Method: DFT, GGA-PBE
State: relaxed

Values from the calculation:
Uncorrected formation energy, meV per atom: -1682
Energy, eV per atom: -4.4243

abc: 7.621 11.558 10.110
angles: 90.00 90.00 90.00
Space group Pmmn (No. 59, origin choice 2)
Symmetry-distinct sites (fractional):
Cs 0.250 0.023 0.179
Pu 0.250 0.750 0.828
Hg 0.250 0.250 0.656
Cl 0.001 0.750 0.653
Cl 0.012 0.750 0.014
Cl 0.250 0.524 0.831